No. 1
Material: ThPd3Pb
Method: DFT, PBE
State: relaxed

Lattice parameters (Å, degrees): 5.4580 7.3191 5.5419 90.00 103.12 90.00
With the nearest neighbours (Å) after each atom.
Sites, in units of the cell vectors:
Pd 0.7865 0.0605 0.6130  4 Pd 2.77-3.02, 2 Pb 2.89-3.04, 2 Th 3.04-3.09
Pd 0.7865 0.4395 0.6130  4 Pd 2.77-3.02, 2 Pb 2.89-3.04, 2 Th 3.04-3.09
Pd 0.2135 0.9395 0.3870  4 Pd 2.77-3.02, 2 Pb 2.89-3.04, 2 Th 3.04-3.09
Pb 0.2950 0.2500 0.7184  6 Pd 2.78-3.04
Pd 0.5770 0.7500 0.7672  2 Th 2.71-2.89, 4 Pd 2.77-2.90, 2 Pb 2.78-2.93
Th 0.1208 0.7500 0.8854  2 Pd 2.71-2.89
Pd 0.4230 0.2500 0.2328  2 Th 2.71-2.89, 4 Pd 2.77-2.90, 2 Pb 2.78-2.93
Pb 0.7050 0.7500 0.2816  6 Pd 2.78-3.04
Th 0.8792 0.2500 0.1146  2 Pd 2.71-2.89
Pd 0.2135 0.5605 0.3870  4 Pd 2.77-3.02, 2 Pb 2.89-3.04, 2 Th 3.04-3.09

Energy of formation from the pure elements = -2.7 eV/f.u.
Size of the total moment = 0.0 μB/f.u.
E = -5.8854 eV/atom

No. 2
Material: ThPd6Pb
Method: DFT, PBE
State: relaxed

Lattice parameters (Å, degrees): 4.1799 4.1799 8.2933 90.00 90.00 90.00
With the nearest neighbours (Å) after each atom.
Sites, in units of the cell vectors:
Pd 0.5000 0.0000 0.7500  2 Th 2.94, 8 Pd 2.94-2.96, 2 Pb 2.94
Pd 0.5000 0.5000 0.5000  8 Pd 2.94, 4 Th 2.96
Th 0.0000 0.0000 0.5000  12 Pd 2.94-2.96
Pd 0.5000 0.0000 0.2500  8 Pd 2.94-2.96, 2 Th 2.94, 2 Pb 2.94
Pb 0.0000 0.0000 0.0000  12 Pd 2.94-2.96
Pd 0.5000 0.5000 0.0000  8 Pd 2.94, 4 Pb 2.96
Pd 0.0000 0.5000 0.2500  2 Th 2.94, 8 Pd 2.94-2.96, 2 Pb 2.94
Pd 0.0000 0.5000 0.7500  2 Th 2.94, 8 Pd 2.94-2.96, 2 Pb 2.94

Energy of formation from the pure elements = -5.0 eV/f.u.
Size of the total moment = 0.0 μB/f.u.
E = -5.9080 eV/atom

No. 3
Material: ThPd14Pb
Method: DFT, PBE
State: relaxed

Lattice parameters (Å, degrees): 5.8378 5.8378 7.8473 90.00 90.00 89.99
With the nearest neighbours (Å) after each atom.
Sites, in units of the cell vectors:
Pd 0.1246 0.6254 0.2413  10 Pd 2.80-2.92, 1 Pb 2.89, 1 Th 2.90
Pd 0.3750 0.3750 0.0000  12 Pd 2.80-2.92
Pd 0.6254 0.6254 0.7586  10 Pd 2.80-2.92, 1 Pb 2.89, 1 Th 2.90
Pd 0.1246 0.6254 0.7587  10 Pd 2.80-2.92, 1 Pb 2.89, 1 Th 2.90
Pb 0.8750 0.8750 0.5000  12 Pd 2.89-2.92
Pd 0.8750 0.8750 0.0000  12 Pd 2.80-2.92
Pd 0.3750 0.8750 0.0000  12 Pd 2.80-2.92
Pd 0.6254 0.1246 0.7587  10 Pd 2.80-2.92, 1 Pb 2.89, 1 Th 2.90
Pd 0.6254 0.1246 0.2413  10 Pd 2.80-2.92, 1 Pb 2.89, 1 Th 2.90
Pd 0.8750 0.3750 0.0000  12 Pd 2.80-2.92
Pd 0.1246 0.1246 0.2414  10 Pd 2.80-2.92, 1 Pb 2.89, 1 Th 2.90
Pd 0.8750 0.3750 0.5000  8 Pd 2.89, 2 Pb 2.92, 2 Th 2.92
Pd 0.1246 0.1246 0.7586  10 Pd 2.80-2.92, 1 Pb 2.89, 1 Th 2.90
Pd 0.3750 0.8750 0.5000  8 Pd 2.89, 2 Pb 2.92, 2 Th 2.92
Pd 0.6254 0.6254 0.2414  10 Pd 2.80-2.92, 1 Pb 2.89, 1 Th 2.90
Th 0.3750 0.3750 0.5000  12 Pd 2.90-2.92

Energy of formation from the pure elements = -4.8 eV/f.u.
Size of the total moment = 0.0 μB/f.u.
E = -5.5405 eV/atom